(1)
# SiTc2Ni (SCAN, PBEsol geometry)
# total DFT energy (no corrections)	-24.05	eV/atom
# formation energy from raw total energies	0.022	eV per atom
# calculated volume	12.80	Å³ per atom
# crystal system	trigonal
data_SiTc2Ni
_symmetry_space_group_name_H-M 'R -3 m'
_symmetry_Int_Tables_number 166
_symmetry_space_group_name_Hall '-R 3 2"'
_cell_length_a 2.6988
_cell_length_b 2.6988
_cell_length_c 24.3562
_cell_angle_alpha 90.00
_cell_angle_beta 90.00
_cell_angle_gamma 120.00
loop_
_atom_site_label
_atom_site_type_symbol
_atom_site_fract_x
_atom_site_fract_y
_atom_site_fract_z
_atom_site_occupancy
Si1 Si 0.0000 0.0000 0.0000 1
Tc1 Tc 0.0000 0.0000 0.2508 1
Ni1 Ni 0.0000 0.0000 0.5000 1

=====

(2)
# LiMgAsO4 (SCAN, PBEsol geometry)
# total DFT energy (no corrections)	-9.70	eV/atom
# formation energy from raw total energies	-2.200	eV per atom
# calculated volume	10.84	Å³ per atom
# crystal system	orthorhombic
data_LiMgAsO4
_symmetry_space_group_name_H-M 'P n m a'
_symmetry_Int_Tables_number 62
_symmetry_space_group_name_Hall '-P 2ac 2n'
_cell_length_a 10.4358
_cell_length_b 5.9569
_cell_length_c 4.8822
_cell_angle_alpha 90.00
_cell_angle_beta 90.00
_cell_angle_gamma 90.00
loop_
_atom_site_label
_atom_site_type_symbol
_atom_site_fract_x
_atom_site_fract_y
_atom_site_fract_z
_atom_site_occupancy
Li1 Li 0.0000 0.0000 0.0000 1
Mg1 Mg 0.2263 0.2500 0.4937 1
As1 As 0.0932 0.7500 0.4347 1
O1 O 0.0568 0.2500 0.7066 1
O2 O 0.0964 0.7500 0.7822 1
O3 O 0.1705 0.5293 0.2762 1

=====

(3)
# Fe2CuRu (SCAN, PBEsol geometry)
# E_form	0.13	eV/atom
# total DFT energy (no corrections)	-21.45	eV/atom
# calculated volume	11.68	Å³ per atom
# E above lowest polymorph	24	meV per atom
# crystal system	tetragonal
data_Fe2CuRu
_symmetry_space_group_name_H-M 'P 4/m m m'
_symmetry_Int_Tables_number 123
_symmetry_space_group_name_Hall '-P 4 2'
_cell_length_a 3.5906
_cell_length_b 3.5906
_cell_length_c 3.6250
_cell_angle_alpha 90.00
_cell_angle_beta 90.00
_cell_angle_gamma 90.00
loop_
_atom_site_label
_atom_site_type_symbol
_atom_site_fract_x
_atom_site_fract_y
_atom_site_fract_z
_atom_site_occupancy
Fe1 Fe 0.0000 0.5000 0.0000 1
Cu1 Cu 0.0000 0.0000 0.5000 1
Ru1 Ru 0.5000 0.5000 0.5000 1

=====

(4)
# HfNiP3 (SCAN, PBEsol geometry)
# E_form	0.31	eV/atom
# total DFT energy (no corrections)	-21.70	eV/atom
# calculated volume	16.15	Å³ per atom
# crystal system	cubic
data_HfNiP3
_symmetry_space_group_name_H-M 'P m -3 m'
_symmetry_Int_Tables_number 221
_symmetry_space_group_name_Hall '-P 4 2 3'
_cell_length_a 4.3225
_cell_length_b 4.3225
_cell_length_c 4.3225
_cell_angle_alpha 90.00
_cell_angle_beta 90.00
_cell_angle_gamma 90.00
loop_
_atom_site_label
_atom_site_type_symbol
_atom_site_fract_x
_atom_site_fract_y
_atom_site_fract_z
_atom_site_occupancy
Hf1 Hf 0.0000 0.0000 0.0000 1
Ni1 Ni 0.5000 0.5000 0.5000 1
P1 P 0.0000 0.5000 0.5000 1

=====

(5)
# LiCdRh2 (SCAN, PBEsol geometry)
# E_form	-0.08	eV/atom
# total DFT energy (no corrections)	-25.17	eV/atom
# calculated volume	14.63	Å³ per atom
# crystal system	cubic
data_LiCdRh2
_symmetry_space_group_name_H-M 'F -4 3 m'
_symmetry_Int_Tables_number 216
_symmetry_space_group_name_Hall 'F -4 2 3'
_cell_length_a 6.1624
_cell_length_b 6.1624
_cell_length_c 6.1624
_cell_angle_alpha 90.00
_cell_angle_beta 90.00
_cell_angle_gamma 90.00
loop_
_atom_site_label
_atom_site_type_symbol
_atom_site_fract_x
_atom_site_fract_y
_atom_site_fract_z
_atom_site_occupancy
Li1 Li 0.0000 0.0000 0.0000 1
Cd1 Cd 0.2500 0.2500 0.7500 1
Rh1 Rh 0.0000 0.0000 0.5000 1
Rh2 Rh 0.2500 0.2500 0.2500 1

=====

(6)
# SrCaBP2 (SCAN, PBEsol geometry)
# E_form	1.77	eV/atom
# total DFT energy (no corrections)	-10.26	eV/atom
# calculated volume	33.60	Å³ per atom
# crystal system	tetragonal
data_SrCaBP2
_symmetry_space_group_name_H-M 'P 4/m m m'
_symmetry_Int_Tables_number 123
_symmetry_space_group_name_Hall '-P 4 2'
_cell_length_a 5.2819
_cell_length_b 5.2819
_cell_length_c 6.0213
_cell_angle_alpha 90.00
_cell_angle_beta 90.00
_cell_angle_gamma 90.00
loop_
_atom_site_label
_atom_site_type_symbol
_atom_site_fract_x
_atom_site_fract_y
_atom_site_fract_z
_atom_site_occupancy
Sr1 Sr 0.0000 0.0000 0.0000 1
Ca1 Ca 0.0000 0.0000 0.5000 1
B1 B 0.5000 0.5000 0.5000 1
P1 P 0.0000 0.5000 0.0000 1

=====

(7)
# KCo2Br (SCAN, PBEsol geometry)
# total DFT energy (no corrections)	-15.46	eV/atom
# formation energy from raw total energies	0.141	eV per atom
# calculated volume	21.19	Å³ per atom
# E above lowest polymorph	0	meV per atom
# crystal system	tetragonal
data_KCo2Br
_symmetry_space_group_name_H-M 'P 4 m m'
_symmetry_Int_Tables_number 99
_symmetry_space_group_name_Hall 'P 4 -2'
_cell_length_a 3.2870
_cell_length_b 3.2870
_cell_length_c 7.8461
_cell_angle_alpha 90.00
_cell_angle_beta 90.00
_cell_angle_gamma 90.00
loop_
_atom_site_label
_atom_site_type_symbol
_atom_site_fract_x
_atom_site_fract_y
_atom_site_fract_z
_atom_site_occupancy
K1 K 0.0000 0.0000 0.0000 1
Co1 Co 0.0000 0.0000 0.6180 1
Co2 Co 0.5000 0.5000 0.5571 1
Br1 Br 0.5000 0.5000 0.2548 1

=====

(8)
# CaMg3N (SCAN, PBEsol geometry)
# total DFT energy (no corrections)	-6.81	eV/atom
# formation energy from raw total energies	-0.039	eV per atom
# calculated volume	19.24	Å³ per atom
# E above lowest polymorph	0	meV per atom
# crystal system	cubic
data_CaMg3N
_symmetry_space_group_name_H-M 'P m -3 m'
_symmetry_Int_Tables_number 221
_symmetry_space_group_name_Hall '-P 4 2 3'
_cell_length_a 4.5821
_cell_length_b 4.5821
_cell_length_c 4.5821
_cell_angle_alpha 90.00
_cell_angle_beta 90.00
_cell_angle_gamma 90.00
loop_
_atom_site_label
_atom_site_type_symbol
_atom_site_fract_x
_atom_site_fract_y
_atom_site_fract_z
_atom_site_occupancy
Ca1 Ca 0.0000 0.0000 0.0000 1
Mg1 Mg 0.0000 0.5000 0.5000 1
N1 N 0.5000 0.5000 0.5000 1

=====

(9)
# TiNbRu2C (SCAN, PBEsol geometry)
# E_form	2.69	eV/atom
# total DFT energy (no corrections)	-23.09	eV/atom
# calculated volume	19.88	Å³ per atom
# crystal system	tetragonal
data_TiNbRu2C
_symmetry_space_group_name_H-M 'P 4/m m m'
_symmetry_Int_Tables_number 123
_symmetry_space_group_name_Hall '-P 4 2'
_cell_length_a 4.5766
_cell_length_b 4.5766
_cell_length_c 4.7463
_cell_angle_alpha 90.00
_cell_angle_beta 90.00
_cell_angle_gamma 90.00
loop_
_atom_site_label
_atom_site_type_symbol
_atom_site_fract_x
_atom_site_fract_y
_atom_site_fract_z
_atom_site_occupancy
Ti1 Ti 0.0000 0.0000 0.0000 1
Nb1 Nb 0.0000 0.0000 0.5000 1
Ru1 Ru 0.0000 0.5000 0.5000 1
C1 C 0.5000 0.5000 0.0000 1

=====

(10)
# CsTiPdSe2 (SCAN, PBEsol geometry)
# total DFT energy (no corrections)	-25.95	eV/atom
# formation energy from raw total energies	-0.593	eV per atom
# calculated volume	24.86	Å³ per atom
# crystal system	tetragonal
data_CsTiPdSe2
_symmetry_space_group_name_H-M 'P 4/m m m'
_symmetry_Int_Tables_number 123
_symmetry_space_group_name_Hall '-P 4 2'
_cell_length_a 4.9905
_cell_length_b 4.9905
_cell_length_c 4.9899
_cell_angle_alpha 90.00
_cell_angle_beta 90.00
_cell_angle_gamma 90.00
loop_
_atom_site_label
_atom_site_type_symbol
_atom_site_fract_x
_atom_site_fract_y
_atom_site_fract_z
_atom_site_occupancy
Cs1 Cs 0.0000 0.0000 0.0000 1
Ti1 Ti 0.5000 0.5000 0.5000 1
Pd1 Pd 0.5000 0.5000 0.0000 1
Se1 Se 0.0000 0.5000 0.5000 1

=====

(11)
# FeAg2Os (SCAN, PBEsol geometry)
# E_form	0.36	eV/atom
# total DFT energy (no corrections)	-37.82	eV/atom
# calculated volume	14.40	Å³ per atom
# E above lowest polymorph	13	meV per atom
# crystal system	tetragonal
data_FeAg2Os
_symmetry_space_group_name_H-M 'P 4 m m'
_symmetry_Int_Tables_number 99
_symmetry_space_group_name_Hall 'P 4 -2'
_cell_length_a 2.7223
_cell_length_b 2.7223
_cell_length_c 7.7706
_cell_angle_alpha 90.00
_cell_angle_beta 90.00
_cell_angle_gamma 90.00
loop_
_atom_site_label
_atom_site_type_symbol
_atom_site_fract_x
_atom_site_fract_y
_atom_site_fract_z
_atom_site_occupancy
Fe1 Fe 0.0000 0.0000 0.0000 1
Ag1 Ag 0.0000 0.0000 0.4679 1
Ag2 Ag 0.5000 0.5000 0.7447 1
Os1 Os 0.5000 0.5000 0.1892 1

=====

(12)
# Sr4Mn2Cu3S4O4 (SCAN, PBEsol geometry)
# total DFT energy (no corrections)	-15.72	eV/atom
# formation energy from raw total energies	-1.913	eV per atom
# calculated volume	15.62	Å³ per atom
# crystal system	orthorhombic
data_Sr4Mn2Cu3S4O4
_symmetry_space_group_name_H-M 'C 2 2 2'
_symmetry_Int_Tables_number 21
_symmetry_space_group_name_Hall 'C 2 2'
_cell_length_a 5.5956
_cell_length_b 16.9604
_cell_length_c 5.5960
_cell_angle_alpha 90.00
_cell_angle_beta 90.00
_cell_angle_gamma 90.00
loop_
_atom_site_label
_atom_site_type_symbol
_atom_site_fract_x
_atom_site_fract_y
_atom_site_fract_z
_atom_site_occupancy
Sr1 Sr 0.2483 0.1495 0.2479 1
Mn1 Mn 0.2500 0.2500 0.7486 1
Cu1 Cu 0.0000 0.0000 0.5000 1
Cu2 Cu 0.0000 0.5000 0.0000 1
Cu3 Cu 0.0000 0.5000 0.5000 1
S1 S 0.2475 0.4223 0.7476 1
O1 O 0.0000 0.2485 0.5000 1
O2 O 0.0000 0.2502 0.0000 1